(i)
Density functional theory data (GGA-PBE) for a relaxed structure of Nb2TlP.

As for the space-group type: Fm-3m, No. 225.

```
4
Lattice="0.000 3.293 3.293 3.293 0.000 3.293 3.293 3.293 0.000" Properties=species:S:1:pos:R:3 pbc="T T T"
Nb 1.646 1.646 1.646
Nb 4.939 4.939 4.939
Tl 0.000 0.000 0.000
P 3.293 3.293 3.293
```

---

(ii)
Density functional theory data (GGA-PBE) for a relaxed structure of Nb2TlP.

As for the space-group type: I-42d, No. 122.

```
8
Lattice="-2.222 2.222 9.077 2.222 -2.222 9.077 2.222 2.222 -9.077" Properties=species:S:1:pos:R:3 pbc="T T T"
Nb 3.334 0.610 -2.269
Nb 0.610 1.111 2.269
Nb -1.111 1.613 6.807
Nb 1.613 1.111 11.346
Tl 2.222 0.000 4.538
Tl 0.000 0.000 9.077
P 0.000 0.000 0.000
P 0.000 2.222 4.538
```

---

Least stable structure: (ii)

---

(i)
Density functional theory data (GGA-PBE) for a relaxed structure of NbTlP3.

As for the space-group type: Pm-3m, No. 221.

```
5
Lattice="4.918 0.000 0.000 0.000 4.918 0.000 0.000 0.000 4.918" Properties=species:S:1:pos:R:3 pbc="T T T"
Nb 0.000 0.000 0.000
Tl 2.459 2.459 2.459
P 0.000 2.459 2.459
P 2.459 0.000 2.459
P 2.459 2.459 0.000
```

---

(ii)
Density functional theory data (GGA-PBE) for a relaxed structure of NbTlP3.

As for the space-group type: Pm-3m, No. 221.

```
5
Lattice="4.898 0.000 0.000 0.000 4.898 0.000 0.000 0.000 4.898" Properties=species:S:1:pos:R:3 pbc="T T T"
Nb 0.000 0.000 0.000
Tl 2.449 2.449 2.449
P 0.000 0.000 2.449
P 0.000 2.449 0.000
P 2.449 0.000 0.000
```

---

Least stable structure: (i)

---

(i)
Density functional theory data (GGA-PBE) for a relaxed structure of Nb2TlP2.

As for the space-group type: P4/mbm, No. 127.

```
10
Lattice="7.396 0.000 0.000 0.000 7.396 0.000 0.000 0.000 3.222" Properties=species:S:1:pos:R:3 pbc="T T T"
Nb 1.055 2.643 0.000
Nb 2.643 6.341 0.000
Nb 4.753 1.055 0.000
Nb 6.341 4.753 0.000
Tl 0.000 0.000 0.000
Tl 3.698 3.698 0.000
P 1.029 4.727 1.611
P 2.669 1.029 1.611
P 4.727 6.367 1.611
P 6.367 2.669 1.611
```

---

(ii)
Density functional theory data (GGA-PBE) for a relaxed structure of Nb2TlP2.

As for the space-group type: I4/mmm, No. 139.

```
5
Lattice="-2.220 2.220 5.141 2.220 -2.220 5.141 2.220 2.220 -5.141" Properties=species:S:1:pos:R:3 pbc="T T T"
Nb 0.000 0.000 1.360
Nb 0.000 0.000 8.922
Tl 0.000 0.000 5.141
P 2.220 0.000 2.571
P 0.000 2.220 2.571
```

---

Least stable structure: (ii)

---

(i)
Density functional theory data (GGA-PBE) for a relaxed structure of Nb2P2W.

As for the space-group type: I4/mmm, No. 139.

```
5
Lattice="-1.674 1.674 7.200 1.674 -1.674 7.200 1.674 1.674 -7.200" Properties=species:S:1:pos:R:3 pbc="T T T"
Nb 0.000 0.000 1.592
Nb 0.000 0.000 12.809
P 1.674 0.000 3.600
P 0.000 1.674 3.600
W 0.000 0.000 7.200
```

---

(ii)
Density functional theory data (GGA-PBE) for a relaxed structure of Nb2P2W.

As for the space-group type: P4/mbm, No. 127.

```
10
Lattice="7.180 0.000 0.000 0.000 7.180 0.000 0.000 0.000 3.112" Properties=species:S:1:pos:R:3 pbc="T T T"
Nb 1.046 2.544 0.000
Nb 2.544 6.134 0.000
Nb 4.636 1.046 0.000
Nb 6.134 4.636 0.000
P 1.091 4.681 1.556
P 2.499 1.091 1.556
P 4.681 6.089 1.556
P 6.089 2.499 1.556
W 0.000 0.000 0.000
W 3.590 3.590 0.000
```

---

Least stable structure: (ii)